# 1
Here is crystalline AcInS4 at its relaxed geometry from the Alexandria database. Energies are from PBE.

Computed properties:
* ΔE_f (raw): -5.306 eV per formula unit
* space group: Cmcm
* calculated total energy: -4.7772 eV per atom

Cell lengths 5.8815, 5.8815, 10.4501 Å; angles 90.00, 90.00, 85.90 degrees
Closest atoms and distances in Å follow each position.
Fractional positions:
Ac (0.2249, 0.7751, 0.7500)  6 S 2.95-3.03
Ac (0.7751, 0.2249, 0.2500)  6 S 2.95-3.03
In (0.2631, 0.7369, 0.2500)  4 S 2.48-2.59
In (0.7369, 0.2631, 0.7500)  4 S 2.48-2.59
S (0.1566, 0.2772, 0.7500)  1 In 2.48
S (0.2772, 0.1566, 0.2500)  1 In 2.48
S (0.3724, 0.6276, 0.0170)  1 S 2.08
S (0.3724, 0.6276, 0.4830)  1 S 2.08
S (0.6276, 0.3724, 0.5170)  1 S 2.08
S (0.6276, 0.3724, 0.9830)  1 S 2.08
S (0.7228, 0.8434, 0.7500)  1 In 2.48
S (0.8434, 0.7228, 0.2500)  1 In 2.48

=====

# 2
Here is crystalline Ac6InS12 at its relaxed geometry from the Alexandria database. Energies are from PBE.

Computed properties:
* ΔE_f (raw): -31.245 eV per formula unit
* space group: R-3
* calculated total energy: -5.6928 eV per atom
* DOS at the Fermi energy: 1.0615 states/eV per atom

Cell lengths 8.4123, 8.4123, 8.4123 Å; angles 98.83, 98.83, 98.83 degrees
Closest atoms and distances in Å follow each position.
Fractional positions:
Ac (0.1213, 0.6369, 0.8004)  7 S 2.95-3.10
Ac (0.1996, 0.8787, 0.3631)  7 S 2.95-3.10
Ac (0.3631, 0.1996, 0.8787)  7 S 2.95-3.10
Ac (0.6369, 0.8004, 0.1213)  7 S 2.95-3.10
Ac (0.8004, 0.1213, 0.6369)  7 S 2.95-3.10
Ac (0.8787, 0.3631, 0.1996)  7 S 2.95-3.10
In (0.5000, 0.5000, 0.5000)  6 S 2.68
S (0.0571, 0.3205, 0.9151)  4 Ac 2.95-3.02
S (0.0849, 0.9429, 0.6795)  4 Ac 2.95-3.02
S (0.1863, 0.5380, 0.4531)  1 In 2.68
S (0.3205, 0.9151, 0.0571)  4 Ac 2.95-3.02
S (0.4531, 0.1863, 0.5380)  1 In 2.68
S (0.4620, 0.5469, 0.8137)  1 In 2.68
S (0.5380, 0.4531, 0.1863)  1 In 2.68
S (0.5469, 0.8137, 0.4620)  1 In 2.68
S (0.6795, 0.0849, 0.9429)  4 Ac 2.95-3.02
S (0.8137, 0.4620, 0.5469)  1 In 2.68
S (0.9151, 0.0571, 0.3205)  4 Ac 2.95-3.02
S (0.9429, 0.6795, 0.0849)  4 Ac 2.95-3.02

=====

# 3
Here is crystalline AcScIn2S6 at its relaxed geometry from the Alexandria database. Energies are from PBE.

Computed properties:
* ΔE_f (raw): -12.189 eV per formula unit
* space group: R3
* calculated total energy: -5.2870 eV per atom

Cell lengths 7.2215, 7.2215, 7.2215 Å; angles 56.79, 56.79, 56.79 degrees
Closest atoms and distances in Å follow each position.
Fractional positions:
Ac (0.0000, 0.0000, 0.0000)  6 S 2.92-3.07
Sc (0.4805, 0.4805, 0.4805)  6 S 2.59-2.65
In (0.2723, 0.2723, 0.2723)  6 S 2.59-2.80
In (0.7855, 0.7855, 0.7855)  6 S 2.57-2.74
S (0.0823, 0.6349, 0.4376)  2 In 2.57-2.80, 1 Sc 2.59
S (0.1922, 0.5655, 0.8804)  2 In 2.59-2.74, 1 Sc 2.65
S (0.4376, 0.0823, 0.6349)  2 In 2.57-2.80, 1 Sc 2.59
S (0.5655, 0.8804, 0.1922)  2 In 2.59-2.74, 1 Sc 2.65
S (0.6349, 0.4376, 0.0823)  2 In 2.57-2.80, 1 Sc 2.59
S (0.8804, 0.1922, 0.5655)  2 In 2.59-2.74, 1 Sc 2.65

=====

# 4
Here is crystalline Sr2AcInS5 at its relaxed geometry from the Alexandria database. Energies are from PBE.

Computed properties:
* ΔE_f (raw): -15.059 eV per formula unit
* space group: Cmc2_1
* calculated total energy: -5.1008 eV per atom
* DOS at the Fermi energy: 0.0000 states/eV per atom

Cell lengths 9.2865, 9.2865, 12.6154 Å; angles 90.00, 90.00, 153.84 degrees
Closest atoms and distances in Å follow each position.
Fractional positions:
Sr (0.1083, 0.8917, 0.5000)  8 S 3.14-3.25
Sr (0.1265, 0.8735, 0.1194)  6 S 3.04-3.23
Sr (0.8735, 0.1265, 0.6194)  6 S 3.04-3.23
Sr (0.8917, 0.1083, 0.0000)  8 S 3.14-3.25
Ac (0.2146, 0.7854, 0.8264)  6 S 2.91-3.09
Ac (0.7854, 0.2146, 0.3264)  6 S 2.91-3.09
In (0.4685, 0.5315, 0.2644)  3 S 2.44-2.53
In (0.5315, 0.4685, 0.7644)  3 S 2.44-2.53
S (0.0472, 0.9528, 0.8736)  2 In 2.53
S (0.2852, 0.7148, 0.4908)  2 Ac 2.95, 3 Sr 3.10-3.20
S (0.3282, 0.6718, 0.1745)  1 In 2.78, 2 Ac 2.95
S (0.3750, 0.6250, 0.8138)  1 In 2.90, 1 Ac 2.91, 4 Sr 3.17-3.23
S (0.4921, 0.5079, 0.5799)  1 In 2.44
S (0.5079, 0.4921, 0.0799)  1 In 2.44
S (0.6250, 0.3750, 0.3138)  1 In 2.90, 1 Ac 2.91, 4 Sr 3.17-3.23
S (0.6718, 0.3282, 0.6745)  1 In 2.78, 2 Ac 2.95
S (0.7148, 0.2852, 0.9908)  2 Ac 2.95, 3 Sr 3.10-3.20
S (0.9528, 0.0472, 0.3736)  2 In 2.53

=====

# 5
Here is crystalline Ac2TbInS6 at its relaxed geometry from the Alexandria database. Energies are from PBE.

Computed properties:
* ΔE_f (raw): -16.961 eV per formula unit
* space group: R3
* calculated total energy: -5.7311 eV per atom
* DOS at the Fermi energy: 0.0000 states/eV per atom

Cell lengths 7.3499, 7.3499, 7.3499 Å; angles 58.91, 58.91, 58.91 degrees
Closest atoms and distances in Å follow each position.
Fractional positions:
Ac (0.0000, 0.0000, 0.0000)  6 S 2.98-3.04
Ac (0.4976, 0.4976, 0.4976)  6 S 2.96-3.08
Tb (0.7174, 0.7174, 0.7174)  6 S 2.69-2.78
In (0.2176, 0.2176, 0.2176)  6 S 2.61-2.71
S (0.0722, 0.8618, 0.4323)  1 Tb 2.69, 1 In 2.71, 1 Ac 2.96
S (0.3549, 0.5642, 0.9398)  1 In 2.61, 1 Tb 2.78
S (0.4323, 0.0722, 0.8618)  1 Tb 2.69, 1 In 2.71, 1 Ac 2.96
S (0.5642, 0.9398, 0.3549)  1 In 2.61, 1 Tb 2.78
S (0.8618, 0.4323, 0.0722)  1 Tb 2.69, 1 In 2.71, 1 Ac 2.96
S (0.9398, 0.3549, 0.5642)  1 In 2.61, 1 Tb 2.78

=====

# 6
Here is crystalline AcTbIn2S6 at its relaxed geometry from the Alexandria database. Energies are from PBE.

Computed properties:
* ΔE_f (raw): -12.713 eV per formula unit
* space group: R3
* calculated total energy: -5.1693 eV per atom

Cell lengths 7.2593, 7.2593, 7.2593 Å; angles 57.69, 57.69, 57.69 degrees
Closest atoms and distances in Å follow each position.
Fractional positions:
Ac (0.0000, 0.0000, 0.0000)  6 S 2.94-3.06
Tb (0.4870, 0.4870, 0.4870)  6 S 2.77
In (0.2740, 0.2740, 0.2740)  6 S 2.59-2.78
In (0.7809, 0.7809, 0.7809)  6 S 2.58-2.75
S (0.0724, 0.6349, 0.4352)  2 In 2.58-2.78, 1 Tb 2.77
S (0.1683, 0.5639, 0.9018)  2 In 2.59-2.75, 1 Tb 2.77
S (0.4352, 0.0724, 0.6349)  2 In 2.58-2.78, 1 Tb 2.77
S (0.5639, 0.9018, 0.1683)  2 In 2.59-2.75, 1 Tb 2.77
S (0.6349, 0.4352, 0.0724)  2 In 2.58-2.78, 1 Tb 2.77
S (0.9018, 0.1683, 0.5639)  2 In 2.59-2.75, 1 Tb 2.77

=====

# 7
Here is crystalline AcInTeS at its relaxed geometry from the Alexandria database. Energies are from PBE.

Computed properties:
* ΔE_f (raw): -4.667 eV per formula unit
* space group: P4/nmm
* calculated total energy: -4.6956 eV per atom
* DOS at the Fermi energy: 0.1330 states/eV per atom

Cell lengths 4.8326, 4.8326, 11.6430 Å; angles 90.00, 90.00, 90.00 degrees
Closest atoms and distances in Å follow each position.
Fractional positions:
Ac (0.2500, 0.2500, 0.1369)  4 S 2.89
Ac (0.7500, 0.7500, 0.8631)  4 S 2.89
In (0.2500, 0.7500, 0.5000)  4 In 3.42, 4 Te 3.47
In (0.7500, 0.2500, 0.5000)  4 In 3.42, 4 Te 3.47
Te (0.2500, 0.2500, 0.7135)  4 In 3.47, 4 Ac 3.84
Te (0.7500, 0.7500, 0.2865)  4 In 3.47, 4 Ac 3.84
S (0.2500, 0.7500, 0.0000)  4 Ac 2.89
S (0.7500, 0.2500, 0.0000)  4 Ac 2.89

=====

# 8
Here is crystalline Ac4InTe2S at its relaxed geometry from the Alexandria database. Energies are from PBE.

Computed properties:
* ΔE_f (raw): -10.474 eV per formula unit
* space group: P2/m
* calculated total energy: -5.0072 eV per atom
* DOS at the Fermi energy: 0.4690 states/eV per atom

Cell lengths 8.0309, 4.5934, 8.2847 Å; angles 90.00, 108.81, 90.00 degrees
Closest atoms and distances in Å follow each position.
Fractional positions:
Ac (0.2342, 0.0000, 0.2253)  2 S 3.17, 1 In 3.26, 3 Te 3.39-3.45
Ac (0.2467, 0.5000, 0.7629)  1 S 3.21, 2 In 3.27, 3 Te 3.34-3.43
Ac (0.7533, 0.5000, 0.2371)  1 S 3.21, 2 In 3.27, 3 Te 3.34-3.43
Ac (0.7658, 0.0000, 0.7747)  2 S 3.17, 1 In 3.26, 3 Te 3.39-3.45
In (0.5000, 0.0000, 0.0000)  6 Ac 3.26-3.27
Te (0.0000, 0.0000, 0.5000)  6 Ac 3.34-3.39
Te (0.5000, 0.5000, 0.5000)  6 Ac 3.43-3.45
S (0.0000, 0.5000, 0.0000)  6 Ac 3.17-3.21

=====

# 9
Here is crystalline Ac3Tl3InS8 at its relaxed geometry from the Alexandria database. Energies are from PBE.

Computed properties:
* ΔE_f (raw): -17.943 eV per formula unit
* space group: R-3m
* calculated total energy: -4.8750 eV per atom
* DOS at the Fermi energy: 0.6196 states/eV per atom

Cell lengths 8.8298, 8.8298, 8.8298 Å; angles 58.57, 58.57, 58.57 degrees
Closest atoms and distances in Å follow each position.
Fractional positions:
Ac (0.0000, 0.5000, 0.5000)  6 S 2.96-3.01
Ac (0.5000, 0.0000, 0.5000)  6 S 2.96-3.01
Ac (0.5000, 0.5000, 0.0000)  6 S 2.96-3.01
Tl (0.0000, 0.0000, 0.5000)  6 S 3.21-3.23
Tl (0.0000, 0.5000, 0.0000)  6 S 3.21-3.23
Tl (0.5000, 0.0000, 0.0000)  6 S 3.21-3.23
In (0.0000, 0.0000, 0.0000)  6 S 2.72
S (0.2205, 0.2205, 0.7645)  1 In 2.72, 2 Ac 3.01
S (0.2205, 0.7645, 0.2205)  1 In 2.72, 2 Ac 3.01
S (0.2355, 0.7795, 0.7795)  1 In 2.72, 2 Ac 3.01
S (0.2606, 0.2606, 0.2606)  3 Ac 2.96, 3 Tl 3.23
S (0.7394, 0.7394, 0.7394)  3 Ac 2.96, 3 Tl 3.23
S (0.7645, 0.2205, 0.2205)  1 In 2.72, 2 Ac 3.01
S (0.7795, 0.2355, 0.7795)  1 In 2.72, 2 Ac 3.01
S (0.7795, 0.7795, 0.2355)  1 In 2.72, 2 Ac 3.01